[1]
# Tb4Dy3Sc | the Alexandria database | PBE | relaxed
# DFT formation energy in kJ/mol of formula units: 15
# Calculated total energy in eV/f.u.: -38.5
data_Tb4Dy3Sc
_chemical_formula_sum 'Tb8 Dy6 Sc2'
_cell_length_a 11.163
_cell_length_b 7.195
_cell_length_c 6.217
_cell_angle_alpha 90.00
_cell_angle_beta 90.00
_cell_angle_gamma 90.00
_symmetry_space_group_name_H-M 'P m n 21'
_symmetry_Int_Tables_number 31
loop_
_symmetry_equiv_pos_as_xyz
'x,y,z'
'-x+1/2,-y,z+1/2'
'-x,y,z'
'x+1/2,-y,z+1/2'
loop_
_atom_site_label
_atom_site_type_symbol
_atom_site_fract_x
_atom_site_fract_y
_atom_site_fract_z
_atom_site_occupancy
Tb1 Tb 0.000 0.127 0.000 1
Tb2 Tb 0.000 0.873 0.492 1
Tb3 Tb 0.246 0.872 0.832 1
Dy1 Dy 0.000 0.377 0.495 1
Dy2 Dy 0.249 0.378 0.827 1
Sc1 Sc 0.000 0.623 0.995 1

---

[2]
# PmHgAu4 | the Alexandria database | PBE | relaxed
# DFT formation energy in kJ/mol of formula units: -243
# Calculated total energy in eV/f.u.: -20.7
data_PmHgAu4
_chemical_formula_sum 'Pm4 Hg4 Au16'
_cell_length_a 7.967
_cell_length_b 7.967
_cell_length_c 7.967
_cell_angle_alpha 90.00
_cell_angle_beta 90.00
_cell_angle_gamma 90.00
_symmetry_space_group_name_H-M 'F -4 3 m'
_symmetry_Int_Tables_number 216
_symmetry_space_group_name_Hall 'F -4 2 3'
loop_
_atom_site_label
_atom_site_type_symbol
_atom_site_fract_x
_atom_site_fract_y
_atom_site_fract_z
_atom_site_occupancy
Pm1 Pm 0.000 0.000 0.000 1
Hg1 Hg 0.250 0.250 0.250 1
Au1 Au 0.125 0.125 0.625 1

---

[3]
# Dy3Ga3Co | the Alexandria database | PBE | relaxed
# DFT formation energy in kJ/mol of formula units: -373
# Calculated total energy in eV/f.u.: -33.9
data_Dy3Ga3Co
_chemical_formula_sum 'Dy12 Ga12 Co4'
_cell_length_a 10.953
_cell_length_b 3.944
_cell_length_c 14.567
_cell_angle_alpha 90.00
_cell_angle_beta 107.80
_cell_angle_gamma 90.00
_symmetry_space_group_name_H-M 'C 1 2/m 1'
_symmetry_Int_Tables_number 12
loop_
_symmetry_equiv_pos_as_xyz
'x,y,z'
'-x,-y,-z'
'-x,y,-z'
'x,-y,z'
'x+1/2,y+1/2,z'
'-x+1/2,-y+1/2,-z'
'-x+1/2,y+1/2,-z'
'x+1/2,-y+1/2,z'
loop_
_atom_site_label
_atom_site_type_symbol
_atom_site_fract_x
_atom_site_fract_y
_atom_site_fract_z
_atom_site_occupancy
Dy1 Dy 0.026 0.000 0.386 1
Dy2 Dy 0.115 0.000 0.921 1
Dy3 Dy 0.239 0.000 0.242 1
Ga1 Ga 0.026 0.500 0.232 1
Ga2 Ga 0.106 0.500 0.076 1
Ga3 Ga 0.163 0.500 0.539 1
Co1 Co 0.227 0.500 0.381 1

---

[4]
# CePuZnPb | the Alexandria database | PBE | relaxed
# DFT formation energy in kJ/mol of formula units: -57
# Calculated total energy in eV/f.u.: -25.8
data_CePuZnPb
_chemical_formula_sum 'Ce4 Pu4 Zn4 Pb4'
_cell_length_a 7.570
_cell_length_b 7.570
_cell_length_c 7.570
_cell_angle_alpha 90.00
_cell_angle_beta 90.00
_cell_angle_gamma 90.00
_symmetry_space_group_name_H-M 'F -4 3 m'
_symmetry_Int_Tables_number 216
_symmetry_space_group_name_Hall 'F -4 2 3'
loop_
_atom_site_label
_atom_site_type_symbol
_atom_site_fract_x
_atom_site_fract_y
_atom_site_fract_z
_atom_site_occupancy
Ce1 Ce 0.000 0.000 0.000 1
Pu1 Pu 0.000 0.000 0.500 1
Zn1 Zn 0.250 0.250 0.750 1
Pb1 Pb 0.250 0.250 0.250 1

---

[5]
# DySnH6Ir2 | the Alexandria database | PBE | relaxed
# Calculated total energy in eV/f.u.: -49.0
data_DySnH6Ir2
_chemical_formula_sum 'Dy4 Sn4 H24 Ir8'
_cell_length_a 7.659
_cell_length_b 12.970
_cell_length_c 5.492
_cell_angle_alpha 90.00
_cell_angle_beta 115.01
_cell_angle_gamma 90.00
_symmetry_space_group_name_H-M 'C 1 2/c 1'
_symmetry_Int_Tables_number 15
loop_
_symmetry_equiv_pos_as_xyz
'x,y,z'
'-x,-y,-z'
'-x,y,-z+1/2'
'x,-y,z+1/2'
'x+1/2,y+1/2,z'
'-x+1/2,-y+1/2,-z'
'-x+1/2,y+1/2,-z+1/2'
'x+1/2,-y+1/2,z+1/2'
loop_
_atom_site_label
_atom_site_type_symbol
_atom_site_fract_x
_atom_site_fract_y
_atom_site_fract_z
_atom_site_occupancy
Dy1 Dy 0.000 0.091 0.250 1
Sn1 Sn 0.000 0.299 0.750 1
H1 H 0.094 0.436 0.097 1
H2 H 0.216 0.034 0.094 1
H3 H 0.245 0.177 0.607 1
Ir1 Ir 0.203 0.119 0.853 1

---

[6]
# Ho4HgSbTe2 | the Alexandria database | PBE | relaxed
# Calculated total energy in eV/f.u.: -37.2
# Raw formation energy in eV/atom: -1.0192
data_Ho4HgSbTe2
_chemical_formula_sum 'Ho4 Hg1 Sb1 Te2'
_cell_length_a 7.534
_cell_length_b 4.231
_cell_length_c 7.656
_cell_angle_alpha 90.00
_cell_angle_beta 108.24
_cell_angle_gamma 90.00
_symmetry_space_group_name_H-M 'P 1 2/m 1'
_symmetry_Int_Tables_number 10
loop_
_symmetry_equiv_pos_as_xyz
'x,y,z'
'-x,-y,-z'
'-x,y,-z'
'x,-y,z'
loop_
_atom_site_label
_atom_site_type_symbol
_atom_site_fract_x
_atom_site_fract_y
_atom_site_fract_z
_atom_site_occupancy
Ho1 Ho 0.243 0.000 0.239 1
Ho2 Ho 0.250 0.500 0.761 1
Hg1 Hg 0.000 0.500 0.000 1
Sb1 Sb 0.500 0.000 0.000 1
Te1 Te 0.000 0.000 0.500 1
Te2 Te 0.500 0.500 0.500 1

---

[7]
# InAs2PtSe | the Alexandria database | PBE | relaxed
# Calculated total energy in eV/f.u.: -19.7
# Raw formation energy in eV/atom: 0.3649
data_InAs2PtSe
_chemical_formula_sum 'In1 As2 Pt1 Se1'
_cell_length_a 4.898
_cell_length_b 4.898
_cell_length_c 5.549
_cell_angle_alpha 90.00
_cell_angle_beta 90.00
_cell_angle_gamma 90.00
_symmetry_space_group_name_H-M 'P 4/m m m'
_symmetry_Int_Tables_number 123
_symmetry_space_group_name_Hall '-P 4 2'
loop_
_atom_site_label
_atom_site_type_symbol
_atom_site_fract_x
_atom_site_fract_y
_atom_site_fract_z
_atom_site_occupancy
In1 In 0.000 0.000 0.000 1
As1 As 0.000 0.500 0.500 1
Pt1 Pt 0.500 0.500 0.500 1
Se1 Se 0.500 0.500 0.000 1

---

[8]
# LiCaTl | the Alexandria database | PBE | relaxed
# DFT formation energy in kJ/mol of formula units: -86
# Calculated total energy in eV/f.u.: -7.2
data_LiCaTl
_chemical_formula_sum 'Li1 Ca1 Tl1'
_cell_length_a 5.0098
_cell_length_b 5.0098
_cell_length_c 3.6501
_cell_angle_alpha 90.00
_cell_angle_beta 90.00
_cell_angle_gamma 120.00
_symmetry_space_group_name_H-M 'P -6 m 2'
_symmetry_Int_Tables_number 187
_symmetry_space_group_name_Hall 'P -6 2'
loop_
_atom_site_label
_atom_site_type_symbol
_atom_site_fract_x
_atom_site_fract_y
_atom_site_fract_z
_atom_site_occupancy
Li1 Li 0.0000 0.0000 0.0000 1
Ca1 Ca 0.3333 0.6667 0.5000 1
Tl1 Tl 0.6667 0.3333 0.0000 1

---

[9]
# TbYHgOs | the Alexandria database | PBE | relaxed
# DFT formation energy in kJ/mol of formula units: -97
# Calculated total energy in eV/f.u.: -23.6
data_TbYHgOs
_chemical_formula_sum 'Tb4 Y4 Hg4 Os4'
_cell_length_a 7.115
_cell_length_b 7.115
_cell_length_c 7.115
_cell_angle_alpha 90.00
_cell_angle_beta 90.00
_cell_angle_gamma 90.00
_symmetry_space_group_name_H-M 'F -4 3 m'
_symmetry_Int_Tables_number 216
_symmetry_space_group_name_Hall 'F -4 2 3'
loop_
_atom_site_label
_atom_site_type_symbol
_atom_site_fract_x
_atom_site_fract_y
_atom_site_fract_z
_atom_site_occupancy
Tb1 Tb 0.000 0.000 0.000 1
Y1 Y 0.000 0.000 0.500 1
Hg1 Hg 0.250 0.250 0.250 1
Os1 Os 0.250 0.250 0.750 1

---

[10]
# Li2OsCl | the Alexandria database | PBE | relaxed
# Calculated total energy in eV/f.u.: -17.6
# Raw formation energy in eV/atom: -0.1739
data_Li2OsCl
_chemical_formula_sum 'Li2 Os1 Cl1'
_cell_length_a 2.774
_cell_length_b 2.774
_cell_length_c 7.514
_cell_angle_alpha 90.00
_cell_angle_beta 90.00
_cell_angle_gamma 90.00
_symmetry_space_group_name_H-M 'P 4/m m m'
_symmetry_Int_Tables_number 123
_symmetry_space_group_name_Hall '-P 4 2'
loop_
_atom_site_label
_atom_site_type_symbol
_atom_site_fract_x
_atom_site_fract_y
_atom_site_fract_z
_atom_site_occupancy
Li1 Li 0.000 0.000 0.207 1
Os1 Os 0.500 0.500 0.500 1
Cl1 Cl 0.500 0.500 0.000 1

---

[11]
# AsP2Rh | the Alexandria database | PBE | relaxed
# DFT formation energy in kJ/mol of formula units: 104
# Calculated total energy in eV/f.u.: -21.7
data_AsP2Rh
_chemical_formula_sum 'As2 P4 Rh2'
_cell_length_a 3.091
_cell_length_b 4.987
_cell_length_c 9.122
_cell_angle_alpha 90.00
_cell_angle_beta 90.00
_cell_angle_gamma 90.00
_symmetry_space_group_name_H-M 'C m m 2'
_symmetry_Int_Tables_number 35
loop_
_symmetry_equiv_pos_as_xyz
'x,y,z'
'-x,-y,z'
'-x,y,z'
'x,-y,z'
'x+1/2,y+1/2,z'
'-x+1/2,-y+1/2,z'
'-x+1/2,y+1/2,z'
'x+1/2,-y+1/2,z'
loop_
_atom_site_label
_atom_site_type_symbol
_atom_site_fract_x
_atom_site_fract_y
_atom_site_fract_z
_atom_site_occupancy
As1 As 0.000 0.000 0.000 1
P1 P 0.000 0.000 0.569 1
P2 P 0.000 0.500 0.390 1
Rh1 Rh 0.000 0.500 0.788 1

---

[12]
# MoAs2W | the Alexandria database | PBE | relaxed
# DFT formation energy in kJ/mol of formula units: 86
# Calculated total energy in eV/f.u.: -32.2
data_MoAs2W
_chemical_formula_sum 'Mo2 As4 W2'
_cell_length_a 3.085
_cell_length_b 4.279
_cell_length_c 9.867
_cell_angle_alpha 90.00
_cell_angle_beta 90.00
_cell_angle_gamma 90.00
_symmetry_space_group_name_H-M 'I m m 2'
_symmetry_Int_Tables_number 44
loop_
_symmetry_equiv_pos_as_xyz
'x,y,z'
'-x,-y,z'
'-x,y,z'
'x,-y,z'
'x+1/2,y+1/2,z+1/2'
'-x+1/2,-y+1/2,z+1/2'
'-x+1/2,y+1/2,z+1/2'
'x+1/2,-y+1/2,z+1/2'
loop_
_atom_site_label
_atom_site_type_symbol
_atom_site_fract_x
_atom_site_fract_y
_atom_site_fract_z
_atom_site_occupancy
Mo1 Mo 0.000 0.000 0.000 1
As1 As 0.000 0.000 0.494 1
As2 As 0.000 0.500 0.281 1
W1 W 0.000 0.500 0.773 1

---

[13]
# NaSm2TlHg4 | the Alexandria database | PBE | relaxed
# DFT formation energy in kJ/mol of formula units: -273
# Calculated total energy in eV/f.u.: -17.2
data_NaSm2TlHg4
_chemical_formula_sum 'Na3 Sm6 Tl3 Hg12'
_cell_length_a 5.2390
_cell_length_b 5.2390
_cell_length_c 25.6899
_cell_angle_alpha 90.00
_cell_angle_beta 90.00
_cell_angle_gamma 120.00
_symmetry_space_group_name_H-M 'R -3 m'
_symmetry_Int_Tables_number 166
_symmetry_space_group_name_Hall '-R 3 2"'
loop_
_atom_site_label
_atom_site_type_symbol
_atom_site_fract_x
_atom_site_fract_y
_atom_site_fract_z
_atom_site_occupancy
Na1 Na 0.0000 0.0000 0.0000 1
Sm1 Sm 0.0000 0.0000 0.2460 1
Tl1 Tl 0.0000 0.0000 0.5000 1
Hg1 Hg 0.0000 0.0000 0.1190 1
Hg2 Hg 0.0000 0.0000 0.3685 1

---

[14]
# LaNdS | the Alexandria database | PBE | relaxed
# Calculated total energy in eV/f.u.: -17.6
# Raw formation energy in eV/atom: -1.2687
data_LaNdS
_chemical_formula_sum 'La2 Nd2 S2'
_cell_length_a 4.015
_cell_length_b 5.703
_cell_length_c 8.124
_cell_angle_alpha 90.00
_cell_angle_beta 90.00
_cell_angle_gamma 90.00
_symmetry_space_group_name_H-M 'P m m n'
_symmetry_Int_Tables_number 59
loop_
_symmetry_equiv_pos_as_xyz
'x,y,z'
'-x,-y,-z'
'-x+1/2,-y+1/2,z'
'x+1/2,y+1/2,-z'
'x+1/2,-y,-z'
'-x+1/2,y,z'
'-x,y+1/2,-z'
'x,-y+1/2,z'
loop_
_atom_site_label
_atom_site_type_symbol
_atom_site_fract_x
_atom_site_fract_y
_atom_site_fract_z
_atom_site_occupancy
La1 La 0.250 0.250 0.124 1
Nd1 Nd 0.250 0.250 0.621 1
S1 S 0.250 0.750 0.623 1

---

[15]
# RhSeBr2 | the Alexandria database | PBE | relaxed
# Calculated total energy in eV/f.u.: -15.2
# Raw formation energy in eV/atom: -0.2554
data_RhSeBr2
_chemical_formula_sum 'Rh2 Se2 Br4'
_cell_length_a 6.620
_cell_length_b 3.797
_cell_length_c 8.544
_cell_angle_alpha 90.00
_cell_angle_beta 101.67
_cell_angle_gamma 90.00
_symmetry_space_group_name_H-M 'C 1 m 1'
_symmetry_Int_Tables_number 8
loop_
_symmetry_equiv_pos_as_xyz
'x,y,z'
'x,-y,z'
'x+1/2,y+1/2,z'
'x+1/2,-y+1/2,z'
loop_
_atom_site_label
_atom_site_type_symbol
_atom_site_fract_x
_atom_site_fract_y
_atom_site_fract_z
_atom_site_occupancy
Rh1 Rh 0.000 0.000 0.000 1
Se1 Se 0.368 0.000 0.133 1
Br1 Br 0.118 0.500 0.814 1
Br2 Br 0.459 0.000 0.426 1

---

[16]
# Ta2MnReN | the Alexandria database | PBE | relaxed
# Calculated total energy in eV/f.u.: -55.7
# Raw formation energy in eV/atom: -0.4005
data_Ta2MnReN
_chemical_formula_sum 'Ta2 Mn1 Re1 N1'
_cell_length_a 4.314
_cell_length_b 4.314
_cell_length_c 3.704
_cell_angle_alpha 90.00
_cell_angle_beta 90.00
_cell_angle_gamma 90.00
_symmetry_space_group_name_H-M 'P 4/m m m'
_symmetry_Int_Tables_number 123
_symmetry_space_group_name_Hall '-P 4 2'
loop_
_atom_site_label
_atom_site_type_symbol
_atom_site_fract_x
_atom_site_fract_y
_atom_site_fract_z
_atom_site_occupancy
Ta1 Ta 0.000 0.500 0.000 1
Mn1 Mn 0.000 0.000 0.500 1
Re1 Re 0.500 0.500 0.500 1
N1 N 0.000 0.000 0.000 1

---

[17]
# U2CoNi | the Alexandria database | PBE | relaxed
# DFT formation energy in kJ/mol of formula units: 152
# Calculated total energy in eV/f.u.: -33.9
data_U2CoNi
_chemical_formula_sum 'U6 Co3 Ni3'
_cell_length_a 2.8330
_cell_length_b 2.8330
_cell_length_c 28.7692
_cell_angle_alpha 90.00
_cell_angle_beta 90.00
_cell_angle_gamma 120.00
_symmetry_space_group_name_H-M 'R -3 m'
_symmetry_Int_Tables_number 166
_symmetry_space_group_name_Hall '-R 3 2"'
loop_
_atom_site_label
_atom_site_type_symbol
_atom_site_fract_x
_atom_site_fract_y
_atom_site_fract_z
_atom_site_occupancy
U1 U 0.0000 0.0000 0.0871 1
Co1 Co 0.0000 0.0000 0.5000 1
Ni1 Ni 0.0000 0.0000 0.0000 1

---

[18]
# YMg4Pd2 | the Alexandria database | PBE | relaxed
# DFT formation energy in kJ/mol of formula units: -341
# Calculated total energy in eV/f.u.: -26.8
data_YMg4Pd2
_chemical_formula_sum 'Y2 Mg8 Pd4'
_cell_length_a 8.675
_cell_length_b 8.675
_cell_length_c 3.910
_cell_angle_alpha 90.00
_cell_angle_beta 90.00
_cell_angle_gamma 90.00
_symmetry_space_group_name_H-M 'P 42/m n m'
_symmetry_Int_Tables_number 136
_symmetry_space_group_name_Hall '-P 4n 2n'
loop_
_atom_site_label
_atom_site_type_symbol
_atom_site_fract_x
_atom_site_fract_y
_atom_site_fract_z
_atom_site_occupancy
Y1 Y 0.000 0.000 0.000 1
Mg1 Mg 0.094 0.332 0.500 1
Pd1 Pd 0.185 0.815 0.500 1

---

[19]
# Tc2RhBr | the Alexandria database | PBE | relaxed
# Calculated total energy in eV/f.u.: -26.7
# Raw formation energy in eV/atom: 0.7561
data_Tc2RhBr
_chemical_formula_sum 'Tc2 Rh1 Br1'
_cell_length_a 4.565
_cell_length_b 4.565
_cell_length_c 2.920
_cell_angle_alpha 90.00
_cell_angle_beta 90.00
_cell_angle_gamma 90.00
_symmetry_space_group_name_H-M 'P 4/m m m'
_symmetry_Int_Tables_number 123
_symmetry_space_group_name_Hall '-P 4 2'
loop_
_atom_site_label
_atom_site_type_symbol
_atom_site_fract_x
_atom_site_fract_y
_atom_site_fract_z
_atom_site_occupancy
Tc1 Tc 0.000 0.500 0.000 1
Rh1 Rh 0.000 0.000 0.500 1
Br1 Br 0.500 0.500 0.500 1

---

[20]
# Hf3GaGe2 | the Alexandria database | PBE | relaxed
# DFT formation energy in kJ/mol of formula units: -285
# Calculated total energy in eV/f.u.: -45.1
data_Hf3GaGe2
_chemical_formula_sum 'Hf12 Ga4 Ge8'
_cell_length_a 11.069
_cell_length_b 3.887
_cell_length_c 10.416
_cell_angle_alpha 90.00
_cell_angle_beta 90.00
_cell_angle_gamma 90.00
_symmetry_space_group_name_H-M 'P n m a'
_symmetry_Int_Tables_number 62
loop_
_symmetry_equiv_pos_as_xyz
'x,y,z'
'-x,-y,-z'
'-x+1/2,-y,z+1/2'
'x+1/2,y,-z+1/2'
'x+1/2,-y+1/2,-z+1/2'
'-x+1/2,y+1/2,z+1/2'
'-x,y+1/2,-z'
'x,-y+1/2,z'
loop_
_atom_site_label
_atom_site_type_symbol
_atom_site_fract_x
_atom_site_fract_y
_atom_site_fract_z
_atom_site_occupancy
Hf1 Hf 0.042 0.250 0.117 1
Hf2 Hf 0.125 0.750 0.570 1
Hf3 Hf 0.217 0.250 0.790 1
Ga1 Ga 0.127 0.250 0.377 1
Ge1 Ge 0.010 0.750 0.301 1
Ge2 Ge 0.187 0.750 0.013 1